Material: Tl3Cu2PdF9
Method: DFT, PBE-GGA
State: relaxed

Results
- total moment (μB/atom) = 0.001
- formation energy without anion corrections (meV/atom) = -1588
- E_tot (eV for the cell shown) = -61.15
- space-group type = P-3m1 (164)
- crystal system = trigonal

Unit cell a=5.9587 b=5.9587 c=7.3004 alpha=90.00 beta=90.00 gamma=120.00
Last column: nearest neighbours and their distance in Å.
Fractional coordinates of all 15 atoms:
1 Tl 0.6667 0.3333 0.3269  12 F 2.94-3.03
2 Pd 0.0000 0.0000 0.5000  6 F 2.17
3 F 0.5000 0.5000 0.0000  2 Cu 2.08
4 F 0.1707 0.8293 0.3275  1 Cu 2.07, 1 Pd 2.17
5 F 0.3413 0.1707 0.6725  1 Cu 2.07, 1 Pd 2.17
6 Tl 0.3333 0.6667 0.6731  12 F 2.94-3.03
7 F 0.5000 0.0000 0.0000  2 Cu 2.08
8 F 0.8293 0.1707 0.6725  1 Cu 2.07, 1 Pd 2.17
9 Cu 0.6667 0.3333 0.8392  6 F 2.07-2.08
10 Cu 0.3333 0.6667 0.1608  6 F 2.07-2.08
11 F 0.1707 0.3413 0.3275  1 Cu 2.07, 1 Pd 2.17
12 F 0.6587 0.8293 0.3275  1 Cu 2.07, 1 Pd 2.17
13 F 0.8293 0.6587 0.6725  1 Cu 2.07, 1 Pd 2.17
14 F 0.0000 0.5000 0.0000  2 Cu 2.08
15 Tl 0.0000 0.0000 0.0000  12 F 2.97-2.98